*i*
# P3Ru5, relaxed, DFT PBE
data_P3Ru5
_cell_length_a 6.548
_cell_length_b 8.544
_cell_length_c 3.824
_cell_angle_alpha 90.00
_cell_angle_beta 90.00
_cell_angle_gamma 90.00
_space_group_name_H-M_alt 'C m m m'
_space_group_IT_number 65
_space_group_name_Hall '-C 2 2'
loop_
_atom_site_label
_atom_site_fract_x
_atom_site_fract_y
_atom_site_fract_z
P1 0.000 0.000 0.000
P2 0.000 0.321 0.500
Ru1 0.000 0.500 0.000
Ru2 0.211 0.000 0.500
Ru3 0.250 0.250 0.000
# DOS at the Fermi energy in states/eV/atom: 0.75



*ii*
# P3Ru5, relaxed, DFT PBE
data_P3Ru5
_cell_length_a 5.508
_cell_length_b 6.827
_cell_length_c 6.861
_cell_angle_alpha 81.15
_cell_angle_beta 66.99
_cell_angle_gamma 67.57
_space_group_name_H-M_alt 'P 1'
_space_group_IT_number 1
loop_
_space_group_symop_operation_xyz
'x,y,z'
loop_
_atom_site_label
_atom_site_fract_x
_atom_site_fract_y
_atom_site_fract_z
P1 0.000 0.000 0.000
P2 0.040 0.520 0.790
P3 0.351 0.523 0.137
P4 0.467 0.055 0.988
P5 0.555 0.807 0.482
P6 0.845 0.170 0.497
Ru1 0.083 0.857 0.701
Ru2 0.223 0.876 0.256
Ru3 0.363 0.179 0.686
Ru4 0.484 0.506 0.429
Ru5 0.551 0.122 0.268
Ru6 0.580 0.750 0.822
Ru7 0.718 0.290 0.853
Ru8 0.885 0.700 0.129
Ru9 0.985 0.465 0.477
Ru10 0.998 0.288 0.119
# DOS at the Fermi energy in states/eV/atom: 0.47



The structure with the greatest stability is *ii*.



*i*
# PRu4, relaxed, DFT PBE
data_PRu4
_cell_length_a 4.299
_cell_length_b 4.299
_cell_length_c 4.299
_cell_angle_alpha 90.00
_cell_angle_beta 90.00
_cell_angle_gamma 90.00
_space_group_name_H-M_alt 'P m -3 m'
_space_group_IT_number 221
_space_group_name_Hall '-P 4 2 3'
loop_
_atom_site_label
_atom_site_fract_x
_atom_site_fract_y
_atom_site_fract_z
P1 0.000 0.000 0.000
Ru1 0.000 0.000 0.500
Ru2 0.500 0.500 0.500
# DOS at the Fermi energy in states/eV/atom: 1.76



*ii*
# PRu4, relaxed, DFT PBE
data_PRu4
_cell_length_a 3.427
_cell_length_b 3.427
_cell_length_c 13.044
_cell_angle_alpha 90.00
_cell_angle_beta 90.00
_cell_angle_gamma 90.00
_space_group_name_H-M_alt 'I 4/m m m'
_space_group_IT_number 139
_space_group_name_Hall '-I 4 2'
loop_
_atom_site_label
_atom_site_fract_x
_atom_site_fract_y
_atom_site_fract_z
P1 0.000 0.000 0.000
Ru1 0.000 0.000 0.404
Ru2 0.000 0.500 0.250
# DOS at the Fermi energy in states/eV/atom: 1.06



The structure with the greatest stability is *ii*.



*i*
# SbP2RuS, relaxed, DFT PBE
data_SbP2RuS
_cell_length_a 4.998
_cell_length_b 4.998
_cell_length_c 4.877
_cell_angle_alpha 90.00
_cell_angle_beta 90.00
_cell_angle_gamma 90.00
_space_group_name_H-M_alt 'P 4/m m m'
_space_group_IT_number 123
_space_group_name_Hall '-P 4 2'
loop_
_atom_site_label
_atom_site_fract_x
_atom_site_fract_y
_atom_site_fract_z
Sb1 0.000 0.000 0.000
P1 0.000 0.500 0.000
Ru1 0.500 0.500 0.500
S1 0.000 0.000 0.500
# DOS at the Fermi energy in states/eV/atom: 1.00



*ii*
# SbP2RuS, relaxed, DFT PBE
data_SbP2RuS
_cell_length_a 4.462
_cell_length_b 4.462
_cell_length_c 5.136
_cell_angle_alpha 90.00
_cell_angle_beta 90.00
_cell_angle_gamma 90.00
_space_group_name_H-M_alt 'P 4/m m m'
_space_group_IT_number 123
_space_group_name_Hall '-P 4 2'
loop_
_atom_site_label
_atom_site_fract_x
_atom_site_fract_y
_atom_site_fract_z
Sb1 0.000 0.000 0.000
P1 0.000 0.500 0.500
Ru1 0.500 0.500 0.500
S1 0.500 0.500 0.000
# DOS at the Fermi energy in states/eV/atom: 0.51



The structure with the greatest stability is *ii*.



*i*
# SiPRuS2, relaxed, DFT PBE
data_SiPRuS2
_cell_length_a 4.361
_cell_length_b 4.361
_cell_length_c 4.407
_cell_angle_alpha 90.00
_cell_angle_beta 90.00
_cell_angle_gamma 90.00
_space_group_name_H-M_alt 'P 4/m m m'
_space_group_IT_number 123
_space_group_name_Hall '-P 4 2'
loop_
_atom_site_label
_atom_site_fract_x
_atom_site_fract_y
_atom_site_fract_z
Si1 0.000 0.000 0.000
P1 0.000 0.000 0.500
Ru1 0.500 0.500 0.500
S1 0.000 0.500 0.000
# DOS at the Fermi energy in states/eV/atom: 0.59



*ii*
# SiPRuS2, relaxed, DFT PBE
data_SiPRuS2
_cell_length_a 4.772
_cell_length_b 4.772
_cell_length_c 4.359
_cell_angle_alpha 90.00
_cell_angle_beta 90.00
_cell_angle_gamma 90.00
_space_group_name_H-M_alt 'P 4/m m m'
_space_group_IT_number 123
_space_group_name_Hall '-P 4 2'
loop_
_atom_site_label
_atom_site_fract_x
_atom_site_fract_y
_atom_site_fract_z
Si1 0.000 0.000 0.000
P1 0.500 0.500 0.000
Ru1 0.500 0.500 0.500
S1 0.000 0.500 0.500
# DOS at the Fermi energy in states/eV/atom: 0.90



The structure with the greatest stability is *ii*.



*i*
# SnP2RuS, relaxed, DFT PBE
data_SnP2RuS
_cell_length_a 4.463
_cell_length_b 4.463
_cell_length_c 5.281
_cell_angle_alpha 90.00
_cell_angle_beta 90.00
_cell_angle_gamma 90.00
_space_group_name_H-M_alt 'P 4/m m m'
_space_group_IT_number 123
_space_group_name_Hall '-P 4 2'
loop_
_atom_site_label
_atom_site_fract_x
_atom_site_fract_y
_atom_site_fract_z
Sn1 0.000 0.000 0.000
P1 0.000 0.500 0.500
Ru1 0.500 0.500 0.500
S1 0.500 0.500 0.000
# DOS at the Fermi energy in states/eV/atom: 0.60



*ii*
# SnP2RuS, relaxed, DFT PBE
data_SnP2RuS
_cell_length_a 4.859
_cell_length_b 4.859
_cell_length_c 4.854
_cell_angle_alpha 90.00
_cell_angle_beta 90.00
_cell_angle_gamma 90.00
_space_group_name_H-M_alt 'P 4/m m m'
_space_group_IT_number 123
_space_group_name_Hall '-P 4 2'
loop_
_atom_site_label
_atom_site_fract_x
_atom_site_fract_y
_atom_site_fract_z
Sn1 0.000 0.000 0.000
P1 0.000 0.500 0.000
Ru1 0.500 0.500 0.500
S1 0.000 0.000 0.500
# DOS at the Fermi energy in states/eV/atom: 1.04



The structure with the greatest stability is *i*.



*i*
# TcPRuS2, relaxed, DFT PBE
data_TcPRuS2
_cell_length_a 4.566
_cell_length_b 4.566
_cell_length_c 4.622
_cell_angle_alpha 90.00
_cell_angle_beta 90.00
_cell_angle_gamma 90.00
_space_group_name_H-M_alt 'P 4/m m m'
_space_group_IT_number 123
_space_group_name_Hall '-P 4 2'
loop_
_atom_site_label
_atom_site_fract_x
_atom_site_fract_y
_atom_site_fract_z
Tc1 0.000 0.000 0.000
P1 0.000 0.000 0.500
Ru1 0.500 0.500 0.500
S1 0.000 0.500 0.000
# DOS at the Fermi energy in states/eV/atom: 1.24



*ii*
# TcPRuS2, relaxed, DFT PBE
data_TcPRuS2
_cell_length_a 4.714
_cell_length_b 4.714
_cell_length_c 4.407
_cell_angle_alpha 90.00
_cell_angle_beta 90.00
_cell_angle_gamma 90.00
_space_group_name_H-M_alt 'P 4/m m m'
_space_group_IT_number 123
_space_group_name_Hall '-P 4 2'
loop_
_atom_site_label
_atom_site_fract_x
_atom_site_fract_y
_atom_site_fract_z
Tc1 0.000 0.000 0.000
P1 0.500 0.500 0.000
Ru1 0.500 0.500 0.500
S1 0.000 0.500 0.500
# DOS at the Fermi energy in states/eV/atom: 1.06



The structure with the greatest stability is *i*.



*i*
# VP2RuS, relaxed, DFT PBE
data_VP2RuS
_cell_length_a 4.502
_cell_length_b 4.502
_cell_length_c 4.392
_cell_angle_alpha 90.00
_cell_angle_beta 90.00
_cell_angle_gamma 90.00
_space_group_name_H-M_alt 'P 4/m m m'
_space_group_IT_number 123
_space_group_name_Hall '-P 4 2'
loop_
_atom_site_label
_atom_site_fract_x
_atom_site_fract_y
_atom_site_fract_z
V1 0.000 0.000 0.000
P1 0.000 0.500 0.000
Ru1 0.500 0.500 0.500
S1 0.000 0.000 0.500
# DOS at the Fermi energy in states/eV/atom: 0.81



*ii*
# VP2RuS, relaxed, DFT PBE
data_VP2RuS
_cell_length_a 4.401
_cell_length_b 4.401
_cell_length_c 5.138
_cell_angle_alpha 90.00
_cell_angle_beta 90.00
_cell_angle_gamma 90.00
_space_group_name_H-M_alt 'P 4/m m m'
_space_group_IT_number 123
_space_group_name_Hall '-P 4 2'
loop_
_atom_site_label
_atom_site_fract_x
_atom_site_fract_y
_atom_site_fract_z
V1 0.000 0.000 0.000
P1 0.000 0.500 0.500
Ru1 0.500 0.500 0.500
S1 0.500 0.500 0.000
# DOS at the Fermi energy in states/eV/atom: 0.65



The structure with the greatest stability is *ii*.



*i*
# P2RuWS, relaxed, DFT PBE
data_P2RuWS
_cell_length_a 4.704
_cell_length_b 4.704
_cell_length_c 4.557
_cell_angle_alpha 90.00
_cell_angle_beta 90.00
_cell_angle_gamma 90.00
_space_group_name_H-M_alt 'P 4/m m m'
_space_group_IT_number 123
_space_group_name_Hall '-P 4 2'
loop_
_atom_site_label
_atom_site_fract_x
_atom_site_fract_y
_atom_site_fract_z
P1 0.000 0.500 0.000
Ru1 0.000 0.000 0.500
W1 0.500 0.500 0.000
S1 0.500 0.500 0.500
# DOS at the Fermi energy in states/eV/atom: 1.14



*ii*
# P2RuWS, relaxed, DFT PBE
data_P2RuWS
_cell_length_a 4.449
_cell_length_b 4.449
_cell_length_c 4.587
_cell_angle_alpha 90.00
_cell_angle_beta 90.00
_cell_angle_gamma 90.00
_space_group_name_H-M_alt 'P 4/m m m'
_space_group_IT_number 123
_space_group_name_Hall '-P 4 2'
loop_
_atom_site_label
_atom_site_fract_x
_atom_site_fract_y
_atom_site_fract_z
P1 0.000 0.500 0.000
Ru1 0.000 0.000 0.000
W1 0.500 0.500 0.500
S1 0.000 0.000 0.500
# DOS at the Fermi energy in states/eV/atom: 1.69



The structure with the greatest stability is *i*.